An optimized crystal structure of TlMoF6, computed with PBE+U. Values from VASP.

Output
Energy relative to the lowest polymorph listed for this composition, meV per atom: 91
Calculated density, g/cm³: 4.67

Structure (Quantum ESPRESSO input):
```
&SYSTEM
  ibrav = 0, nat = 8, ntyp = 3
/
ATOMIC_SPECIES
Tl 204.38 Tl.upf
Mo 95.94 Mo.upf
F 19.00 F.upf
CELL_PARAMETERS angstrom
-1.146 4.858 -2.648
-4.495 0.370 -3.404
-4.876 3.283 2.105
ATOMIC_POSITIONS angstrom
Tl -5.259 4.255 -1.974
Mo 0.000 0.000 0.000
F -8.980 7.351 -3.871
F -8.379 4.805 -2.484
F -3.893 1.354 -1.860
F -2.138 3.705 -1.464
F -1.538 1.160 -0.076
F -6.625 7.157 -2.087
```

=====

An optimized crystal structure of Tl3Mo2F9, computed with PBE+U. Values from VASP.

Output
Calculated density, g/cm³: 6.17

Structure (Quantum ESPRESSO input):
```
&SYSTEM
  ibrav = 0, nat = 28, ntyp = 3
/
ATOMIC_SPECIES
Tl 204.38 Tl.upf
Mo 95.94 Mo.upf
F 19.00 F.upf
CELL_PARAMETERS angstrom
8.068 0.021 0.745
0.681 8.039 0.745
0.023 0.021 8.102
ATOMIC_POSITIONS angstrom
Tl 3.622 6.040 1.775
Tl 2.634 7.135 5.825
Tl 7.566 4.965 3.142
Tl 1.205 3.115 6.449
Tl 6.138 0.946 3.765
Tl 5.150 2.041 7.816
Mo 1.329 1.224 1.453
Mo 5.715 5.265 6.249
Mo 7.442 6.856 8.138
Mo 3.057 2.816 3.342
F 6.686 7.353 1.887
F 1.337 7.403 2.763
F 2.288 3.182 1.332
F 5.258 6.038 4.397
F 5.508 7.222 7.193
F 7.744 6.061 6.127
F 2.433 4.676 3.962
F 4.966 3.334 2.777
F 7.593 2.019 1.578
F 1.178 6.062 8.013
F 3.805 4.747 6.814
F 3.263 0.858 2.398
F 6.338 3.404 5.629
F 1.027 2.020 3.464
F 3.513 2.043 5.193
F 6.483 4.899 8.259
F 7.434 0.678 6.828
F 2.085 0.727 7.704
```

=====

An optimized crystal structure of TlMo2F, computed with PBE+U. Values from VASP.

Output
Energy relative to the lowest polymorph listed for this composition, meV per atom: 0
Calculated density, g/cm³: 6.26

Structure (Quantum ESPRESSO input):
```
&SYSTEM
  ibrav = 0, nat = 8, ntyp = 3
/
ATOMIC_SPECIES
Tl 204.38 Tl.upf
Mo 95.94 Mo.upf
F 19.00 F.upf
CELL_PARAMETERS angstrom
5.809 0.000 0.000
0.000 5.809 0.000
2.904 2.904 6.533
ATOMIC_POSITIONS angstrom
Tl 0.000 0.000 0.000
Tl 5.809 2.904 3.266
Mo 3.616 1.452 1.633
Mo 2.193 4.357 1.633
Mo 4.357 5.097 4.900
Mo 7.261 6.520 4.900
F 2.904 2.904 0.000
F 2.904 5.809 3.266
```

=====

An optimized crystal structure of TlMoF3, computed with PBE+U. Values from VASP.

Output
Energy relative to the lowest polymorph listed for this composition, meV per atom: 754
Calculated density, g/cm³: 5.92

Structure (Quantum ESPRESSO input):
```
&SYSTEM
  ibrav = 0, nat = 5, ntyp = 3
/
ATOMIC_SPECIES
Tl 204.38 Tl.upf
Mo 95.94 Mo.upf
F 19.00 F.upf
CELL_PARAMETERS angstrom
-3.483 1.223 -2.822
-0.853 -4.480 -0.888
-2.955 -0.148 3.583
ATOMIC_POSITIONS angstrom
Tl 0.000 0.000 0.000
Mo -3.645 -1.702 -0.064
F -0.427 -2.240 -0.444
F -1.478 -0.074 1.791
F -1.741 0.611 -1.411
```

=====

An optimized crystal structure of Tl2MoF5, computed with PBE+U. Values from VASP.

Output
Calculated density, g/cm³: 6.35

Structure (Quantum ESPRESSO input):
```
&SYSTEM
  ibrav = 0, nat = 16, ntyp = 3
/
ATOMIC_SPECIES
Tl 204.38 Tl.upf
Mo 95.94 Mo.upf
F 19.00 F.upf
CELL_PARAMETERS angstrom
-1.786 6.060 1.624
-4.092 0.548 6.560
3.687 2.845 6.540
ATOMIC_POSITIONS angstrom
Tl -1.781 4.964 6.099
Tl 0.172 2.595 3.201
Tl -1.932 6.485 12.601
Tl -0.086 4.479 9.801
Mo -3.744 7.085 8.740
Mo 0.144 8.238 8.731
F 0.062 6.432 7.671
F -1.700 0.940 5.033
F 2.010 3.984 8.166
F -3.091 2.785 7.011
F 1.822 3.334 5.357
F -2.613 5.324 8.843
F 0.253 7.081 10.481
F -4.001 7.170 10.823
F -1.406 5.313 2.011
F -0.207 2.253 7.287
```

=====

An optimized crystal structure of TlMo2F8, computed with PBE+U. Values from VASP.

Output
Calculated density, g/cm³: 5.92

Structure (Quantum ESPRESSO input):
```
&SYSTEM
  ibrav = 0, nat = 11, ntyp = 3
/
ATOMIC_SPECIES
Tl 204.38 Tl.upf
Mo 95.94 Mo.upf
F 19.00 F.upf
CELL_PARAMETERS angstrom
-1.415 3.611 -1.569
-5.748 -1.260 2.736
4.535 3.087 3.467
ATOMIC_POSITIONS angstrom
Tl -0.708 1.806 -0.784
Mo 1.116 1.642 3.224
Mo -2.329 0.185 2.979
F -3.889 4.119 3.484
F -0.679 5.476 3.712
F -1.050 1.912 3.398
F -3.380 1.846 2.170
F 0.752 3.592 2.464
F -1.579 3.526 1.235
F -1.949 -0.039 0.922
F 1.261 1.319 1.150
```

=====

An optimized crystal structure of Tl2MoF7, computed with PBE+U. Values from VASP.

Output
Calculated density, g/cm³: 5.55

Structure (Quantum ESPRESSO input):
```
&SYSTEM
  ibrav = 0, nat = 20, ntyp = 3
/
ATOMIC_SPECIES
Tl 204.38 Tl.upf
Mo 95.94 Mo.upf
F 19.00 F.upf
CELL_PARAMETERS angstrom
-0.695 -0.001 7.087
-7.411 -0.757 2.851
-0.034 -7.522 3.573
ATOMIC_POSITIONS angstrom
Tl -7.118 -6.173 9.592
Tl -3.481 -2.034 7.255
Tl -4.660 -6.246 6.255
Tl -1.023 -2.107 3.919
Mo -2.503 -5.832 9.765
Mo -5.637 -2.448 3.745
F -4.335 -6.275 9.090
F -0.154 -2.135 1.201
F -6.354 -8.133 7.562
F -1.239 -4.913 4.358
F -2.309 -5.831 7.780
F -3.125 -3.994 9.395
F -2.693 -6.749 4.215
F -5.447 -1.531 9.296
F -5.015 -4.286 4.116
F -5.832 -2.449 5.731
F -6.901 -3.367 9.153
F -1.787 -0.147 5.949
F -7.987 -6.145 12.309
F -3.805 -2.005 4.421
```

=====

An optimized crystal structure of TlMoF4, computed with PBE+U. Values from VASP.

Output
Calculated density, g/cm³: 5.21

Structure (Quantum ESPRESSO input):
```
&SYSTEM
  ibrav = 0, nat = 6, ntyp = 3
/
ATOMIC_SPECIES
Tl 204.38 Tl.upf
Mo 95.94 Mo.upf
F 19.00 F.upf
CELL_PARAMETERS angstrom
-0.478 -1.713 3.773
-3.415 -1.989 -1.337
3.878 -5.361 -1.926
ATOMIC_POSITIONS angstrom
Tl -0.239 -0.857 1.887
Mo 0.232 -3.675 -1.631
F -0.939 -2.058 -1.047
F 0.924 -7.004 1.557
F 1.939 -2.681 -0.963
F -0.007 -4.531 0.255
```

=====

no.,total moment (μB/atom),total energy (eV/cell)
1,0.125,-38.70
2,0.429,-137.93
3,2.086,-32.03
4,0.993,-20.37
5,0.375,-78.11
6,0.455,-56.48
7,0.100,-94.24
8,0.500,-30.72